Record 1
DFT (SCAN) results for a crystal of K2CoRh relaxed with PBEsol.

Geometry as POSCAR:
```
K2CoRh
1.0
3.335 0.000 0.000
0.000 3.335 0.000
0.000 0.000 9.819
Co K Rh
1 2 1
Cartesian
1.668 1.668 6.387 Co
0.000 0.000 8.911 K
1.668 1.668 3.368 K
0.000 0.000 5.882 Rh
```

The formation energy is 0.436 eV/atom. The theoretical density comes out at 3.65 g/cm3. As for the space-group type: P4mm. The size of the total moment comes out at 2.70 Bohr magnetons per cell. The total energy is -66.0 eV for the cell shown.

---

Record 2
DFT (SCAN) results for a crystal of TaAlPt2 relaxed with PBEsol.

Geometry as POSCAR:
```
TaAlPt2
1.0
2.777 0.000 0.000
0.000 4.823 -0.029
0.000 -1.506 4.582
Pt Al Ta
2 1 1
Cartesian
0.000 -0.753 2.291 Pt
0.000 2.411 -0.014 Pt
1.388 1.658 2.276 Al
1.388 0.000 0.000 Ta
```

The formation energy is -0.810 eV/atom. The theoretical density comes out at 16.22 g/cm3. As for the space-group type: Cmmm. The size of the total moment comes out at 0.00 Bohr magnetons per cell. The total energy is -218.0 eV for the cell shown.

---

Record 3
DFT (SCAN) results for a crystal of TlAu2 relaxed with PBEsol.

Geometry as POSCAR:
```
TlAu2
1.0
5.547 0.000 0.000
-2.773 4.804 0.000
0.000 0.000 9.284
Au Tl
8 4
Cartesian
2.773 3.182 2.321 Au
0.000 1.621 6.963 Au
1.404 0.811 2.321 Au
0.000 0.000 4.642 Au
-1.369 3.993 6.963 Au
4.143 0.811 2.321 Au
1.369 3.993 6.963 Au
0.000 0.000 0.000 Au
0.000 3.202 0.583 Tl
2.773 1.601 8.701 Tl
2.773 1.601 5.225 Tl
0.000 3.202 4.059 Tl
```

The formation energy is 0.013 eV/atom. The theoretical density comes out at 16.07 g/cm3. As for the space-group type: P6_3/mmc. The size of the total moment comes out at 0.00 Bohr magnetons per cell. The total energy is -842.5 eV for the cell shown.